Entry 1:
# LaGaFe2Pt (PBE-GGA, optimized geometry)
data_LaGaFe2Pt
_space_group_name_H-M_alt 'P 1'
_space_group_IT_number 1
_cell_length_a 4.555
_cell_length_b 4.555
_cell_length_c 4.805
_cell_angle_alpha 90.00
_cell_angle_beta 90.00
_cell_angle_gamma 90.00
loop_
_space_group_symop_operation_xyz
'x,y,z'
loop_
_atom_site_label
_atom_site_fract_x
_atom_site_fract_y
_atom_site_fract_z
La1 0.000 0.000 0.000
Ga1 0.500 0.500 0.500
Fe1 0.000 0.500 0.500
Fe2 0.500 0.000 0.500
Pt1 0.500 0.500 0.000
# calculated total energy: -6.031 eV/atom

Entry 2:
# HfCdRhC2 (PBE-GGA, optimized geometry)
data_HfCdRhC2
_space_group_name_H-M_alt 'P 1'
_space_group_IT_number 1
_cell_length_a 4.061
_cell_length_b 4.061
_cell_length_c 5.611
_cell_angle_alpha 90.00
_cell_angle_beta 90.00
_cell_angle_gamma 90.00
loop_
_space_group_symop_operation_xyz
'x,y,z'
loop_
_atom_site_label
_atom_site_fract_x
_atom_site_fract_y
_atom_site_fract_z
Hf1 0.000 0.000 0.000
Cd1 0.000 0.000 0.500
Rh1 0.500 0.500 0.000
C1 0.000 0.500 0.500
C2 0.500 0.000 0.500
# calculated total energy: -4.746 eV/atom

Entry 3:
# Be2Zn2W (PBE-GGA, optimized geometry)
data_Be2Zn2W
_space_group_name_H-M_alt 'P 1'
_space_group_IT_number 1
_cell_length_a 6.700
_cell_length_b 6.700
_cell_length_c 2.666
_cell_angle_alpha 90.00
_cell_angle_beta 90.00
_cell_angle_gamma 90.00
loop_
_space_group_symop_operation_xyz
'x,y,z'
loop_
_atom_site_label
_atom_site_fract_x
_atom_site_fract_y
_atom_site_fract_z
Be1 0.127 0.373 0.000
Be2 0.373 0.873 0.000
Be3 0.627 0.127 0.000
Be4 0.873 0.627 0.000
Zn1 0.167 0.667 0.500
Zn2 0.333 0.167 0.500
Zn3 0.667 0.833 0.500
Zn4 0.833 0.333 0.500
W1 0.000 0.000 0.000
W2 0.500 0.500 0.000
# calculated total energy: -4.400 eV/atom

Entry 4:
# SbINF2 (PBE-GGA, optimized geometry)
data_SbINF2
_space_group_name_H-M_alt 'P 1'
_space_group_IT_number 1
_cell_length_a 4.876
_cell_length_b 4.876
_cell_length_c 4.075
_cell_angle_alpha 90.00
_cell_angle_beta 90.00
_cell_angle_gamma 90.00
loop_
_space_group_symop_operation_xyz
'x,y,z'
loop_
_atom_site_label
_atom_site_fract_x
_atom_site_fract_y
_atom_site_fract_z
Sb1 0.000 0.000 0.000
I1 0.500 0.500 0.500
N1 0.500 0.500 0.000
F1 0.000 0.500 0.500
F2 0.500 0.000 0.500
# uncorrected formation energy: 444 meV/atom
# calculated total energy: -3.104 eV/atom

Entry 5:
# ReAuSe2 (PBE-GGA, optimized geometry)
data_ReAuSe2
_space_group_name_H-M_alt 'P 1'
_space_group_IT_number 1
_cell_length_a 3.091
_cell_length_b 4.069
_cell_length_c 5.818
_cell_angle_alpha 90.00
_cell_angle_beta 90.00
_cell_angle_gamma 90.00
loop_
_space_group_symop_operation_xyz
'x,y,z'
loop_
_atom_site_label
_atom_site_fract_x
_atom_site_fract_y
_atom_site_fract_z
Re1 0.000 0.000 0.000
Au1 0.500 0.500 0.662
Se1 0.000 0.000 0.417
Se2 0.500 0.500 0.112
# uncorrected formation energy: 528 meV/atom
# calculated total energy: -5.146 eV/atom

Entry 6:
# PtWCl (PBE-GGA, optimized geometry)
data_PtWCl
_space_group_name_H-M_alt 'P 1'
_space_group_IT_number 1
_cell_length_a 7.039
_cell_length_b 7.039
_cell_length_c 7.039
_cell_angle_alpha 155.92
_cell_angle_beta 155.92
_cell_angle_gamma 34.32
loop_
_space_group_symop_operation_xyz
'x,y,z'
loop_
_atom_site_label
_atom_site_fract_x
_atom_site_fract_y
_atom_site_fract_z
Pt1 0.000 0.000 0.000
W1 0.623 0.623 0.000
Cl1 0.246 0.246 0.000
# uncorrected formation energy: 150 meV/atom
# calculated total energy: -6.797 eV/atom

Entry 7:
# TbPm4NdSm2 (PBE-GGA, optimized geometry)
data_TbPm4NdSm2
_space_group_name_H-M_alt 'P 1'
_space_group_IT_number 1
_cell_length_a 9.604
_cell_length_b 9.604
_cell_length_c 6.928
_cell_angle_alpha 111.03
_cell_angle_beta 111.03
_cell_angle_gamma 88.16
loop_
_space_group_symop_operation_xyz
'x,y,z'
loop_
_atom_site_label
_atom_site_fract_x
_atom_site_fract_y
_atom_site_fract_z
Tb1 0.000 0.000 0.000
Tb2 0.000 0.000 0.500
Pm1 0.246 0.750 0.997
Pm2 0.248 0.249 0.455
Pm3 0.249 0.248 0.955
Pm4 0.250 0.754 0.503
Pm5 0.750 0.246 0.497
Pm6 0.751 0.752 0.045
Pm7 0.752 0.751 0.545
Pm8 0.754 0.250 0.003
Nd1 0.000 0.500 0.000
Nd2 0.500 0.000 0.500
Sm1 0.000 0.500 0.500
Sm2 0.500 0.000 0.000
Sm3 0.500 0.500 0.000
Sm4 0.500 0.500 0.500
# calculated total energy: -4.344 eV/atom

Entry 8:
# La3Sn5Pd6 (PBE-GGA, optimized geometry)
data_La3Sn5Pd6
_space_group_name_H-M_alt 'P 1'
_space_group_IT_number 1
_cell_length_a 4.555
_cell_length_b 13.997
_cell_length_c 9.875
_cell_angle_alpha 90.00
_cell_angle_beta 90.00
_cell_angle_gamma 90.00
loop_
_space_group_symop_operation_xyz
'x,y,z'
loop_
_atom_site_label
_atom_site_fract_x
_atom_site_fract_y
_atom_site_fract_z
La1 0.250 0.069 0.248
La2 0.250 0.431 0.248
La3 0.250 0.750 0.271
La4 0.750 0.250 0.729
La5 0.750 0.569 0.752
La6 0.750 0.931 0.752
Sn1 0.250 0.077 0.615
Sn2 0.250 0.423 0.615
Sn3 0.250 0.629 0.982
Sn4 0.250 0.750 0.709
Sn5 0.250 0.871 0.982
Sn6 0.750 0.129 0.018
Sn7 0.750 0.250 0.291
Sn8 0.750 0.371 0.018
Sn9 0.750 0.577 0.385
Sn10 0.750 0.923 0.385
Pd1 0.250 0.061 0.891
Pd2 0.250 0.250 0.470
Pd3 0.250 0.250 0.995
Pd4 0.250 0.439 0.891
Pd5 0.250 0.611 0.515
Pd6 0.250 0.889 0.515
Pd7 0.750 0.111 0.485
Pd8 0.750 0.389 0.485
Pd9 0.750 0.561 0.109
Pd10 0.750 0.750 0.005
Pd11 0.750 0.750 0.530
Pd12 0.750 0.939 0.109
# calculated total energy: -5.536 eV/atom

The evaluated density of states at the Fermi level for the records listed, in turn: 1.544; 0.898; 0.099; 0.783; 0.583; 0.957; 2.416; 0.596 states/eV per atom.